# 1
Crystalline Li7HgBi3 at its relaxed geometry. Source: the Alexandria database, functional GGA-PBE.

POSCAR file:
```
Li7HgBi3
1.0
3.471 0.000 0.000
-1.735 11.723 0.000
0.000 0.000 11.720
Li Hg Bi
14 2 6
Cartesian
0.000 8.677 8.790 Li
1.735 3.046 2.930 Li
0.000 11.380 4.532 Li
1.735 0.343 7.188 Li
1.735 0.343 10.392 Li
0.000 11.380 1.328 Li
0.000 8.202 4.576 Li
1.735 3.521 7.143 Li
0.000 4.877 4.849 Li
1.735 6.846 6.870 Li
1.735 6.846 10.709 Li
0.000 4.877 1.010 Li
0.000 8.202 1.284 Li
1.735 3.521 10.436 Li
1.735 9.838 2.930 Hg
0.000 1.885 8.790 Hg
0.000 2.044 5.178 Bi
1.735 9.679 6.541 Bi
0.000 5.425 8.790 Bi
1.735 6.298 2.930 Bi
0.000 2.044 0.682 Bi
1.735 9.679 11.038 Bi
```

Computed properties:
Total DFT energy (no corrections) in eV/f.u.: -29.726
Formation enthalpy at 0 K in eV/atom: -0.399

# 2
Crystalline LiHgBi2 at its relaxed geometry. Source: the Alexandria database, functional GGA-PBE.

POSCAR file:
```
LiHgBi2
1.0
-4.011 0.302 -2.319
-2.171 -2.558 3.423
-1.055 4.041 2.351
Li Bi Hg
1 2 1
Cartesian
-3.618 0.893 1.728 Li
-0.527 2.021 1.176 Bi
-1.086 -1.279 1.711 Bi
-2.005 0.151 -1.159 Hg
```

Computed properties:
Total DFT energy (no corrections) in eV/f.u.: -10.489
Formation enthalpy at 0 K in eV/atom: -0.128

# 3
Crystalline Li3Hg3Bi2 at its relaxed geometry. Source: the Alexandria database, functional GGA-PBE.

POSCAR file:
```
Li3Hg3Bi2
1.0
3.349 0.000 0.000
0.000 7.036 -4.059
0.000 -0.002 8.122
Li Hg Bi
3 3 2
Cartesian
1.674 7.034 -1.165 Li
1.674 2.504 6.676 Li
1.674 4.529 2.617 Li
0.000 -0.001 6.271 Hg
0.000 5.432 -3.133 Hg
0.000 1.602 0.925 Hg
0.000 4.689 0.002 Bi
0.000 2.344 4.061 Bi
```

Computed properties:
Total DFT energy (no corrections) in eV/f.u.: -16.446
Formation enthalpy at 0 K in eV/atom: -0.255

# 4
Crystalline Li2Hg3Bi at its relaxed geometry. Source: the Alexandria database, functional GGA-PBE.

POSCAR file:
```
Li2Hg3Bi
1.0
5.062 0.000 -1.592
0.000 3.554 0.000
-0.307 0.000 7.782
Li Hg Bi
2 3 1
Cartesian
0.743 1.777 2.333 Li
4.011 1.777 3.857 Li
1.410 0.000 4.435 Hg
3.345 0.000 1.755 Hg
2.531 1.777 -0.796 Hg
0.000 0.000 0.000 Bi
```

Computed properties:
Total DFT energy (no corrections) in eV/f.u.: -9.932
Formation enthalpy at 0 K in eV/atom: -0.220
Polymorph energy (0 for the lowest one) in meV per atom: 26

# 5
Crystalline Li2HgBi at its relaxed geometry. Source: the Alexandria database, functional GGA-PBE.

POSCAR file:
```
Li2HgBi
1.0
-3.148 -3.989 -3.783
-0.185 0.316 6.325
0.358 5.741 2.656
Li Hg Bi
2 1 1
Cartesian
0.042 1.472 2.183 Li
0.131 4.584 6.798 Li
0.000 0.000 0.000 Hg
0.087 3.028 4.490 Bi
```

Computed properties:
Total DFT energy (no corrections) in eV/f.u.: -8.055
Formation enthalpy at 0 K in eV/atom: -0.011

# 6
Crystalline LiHgBi2 at its relaxed geometry. Source: the Alexandria database, functional GGA-PBE.

POSCAR file:
```
LiHgBi2
1.0
4.694 0.000 0.000
0.000 4.694 0.000
2.347 2.347 10.737
Li Bi Hg
2 4 2
Cartesian
2.347 2.347 0.000 Li
2.347 4.694 5.369 Li
3.387 1.173 2.684 Bi
1.306 3.520 2.684 Bi
3.520 3.653 8.053 Bi
5.867 5.734 8.053 Bi
0.000 0.000 0.000 Hg
4.694 2.347 5.369 Hg
```

Computed properties:
Total DFT energy (no corrections) in eV/f.u.: -10.369
Formation enthalpy at 0 K in eV/atom: -0.098

# 7
Crystalline LiHg6Bi2 at its relaxed geometry. Source: the Alexandria database, functional GGA-PBE.

POSCAR file:
```
LiHg6Bi2
1.0
-2.058 2.131 -1.868
-7.784 -0.335 4.695
-2.161 6.357 6.135
Li Hg Bi
1 6 2
Cartesian
0.000 0.000 0.000 Li
-4.350 1.748 0.155 Hg
-9.451 4.267 8.347 Hg
-7.654 6.406 8.807 Hg
-4.688 5.641 4.818 Hg
-2.552 3.886 0.614 Hg
-7.316 2.513 4.144 Hg
-8.160 5.709 5.325 Bi
-3.844 2.445 3.636 Bi
```

Computed properties:
Total DFT energy (no corrections) in eV/f.u.: -11.617
Formation enthalpy at 0 K in eV/atom: -0.015

# 8
Crystalline Li3HgBi4 at its relaxed geometry. Source: the Alexandria database, functional GGA-PBE.

POSCAR file:
```
Li3HgBi4
1.0
-0.163 -3.412 0.718
4.065 0.500 3.298
-6.955 2.068 8.259
Bi Hg Li
4 1 3
Cartesian
-3.478 1.034 4.129 Bi
-3.052 1.762 7.687 Bi
0.000 0.000 0.000 Bi
0.162 0.806 3.870 Bi
1.951 -1.456 2.008 Hg
-1.796 -1.196 2.395 Li
-1.526 -0.422 6.137 Li
-5.322 -0.147 6.581 Li
```

Computed properties:
Total DFT energy (no corrections) in eV/f.u.: -23.257
Formation enthalpy at 0 K in eV/atom: -0.211

# 9
Crystalline Li4Hg2Bi at its relaxed geometry. Source: the Alexandria database, functional GGA-PBE.

POSCAR file:
```
Li4Hg2Bi
1.0
5.606 0.233 -1.830
-2.727 4.733 -2.235
0.134 -0.233 5.896
Li Hg Bi
4 2 1
Cartesian
2.803 0.117 -0.915 Li
1.507 2.366 0.915 Li
0.067 -0.117 2.948 Li
-1.363 2.366 -1.118 Li
1.440 2.483 -2.033 Hg
2.870 0.000 2.033 Hg
0.000 0.000 0.000 Bi
```

Computed properties:
Total DFT energy (no corrections) in eV/f.u.: -14.293
Formation enthalpy at 0 K in eV/atom: -0.308

# 10
Crystalline Li3Hg3Bi at its relaxed geometry. Source: the Alexandria database, functional GGA-PBE.

POSCAR file:
```
Li3Hg3Bi
1.0
-3.966 3.103 -4.637
-5.348 -0.847 4.188
1.248 5.700 2.746
Li Hg Bi
6 6 2
Cartesian
0.950 4.343 2.093 Li
-7.021 2.121 2.552 Li
-6.330 4.096 -1.861 Li
-1.046 5.835 -0.255 Li
-1.737 3.860 4.158 Li
-9.017 3.613 0.205 Li
-1.873 3.455 1.253 Hg
-4.365 3.031 3.263 Hg
-3.702 4.924 -0.966 Hg
-5.005 0.134 1.995 Hg
-4.310 2.121 -2.445 Hg
-6.194 4.501 1.044 Hg
-2.639 0.639 -0.127 Bi
-5.428 7.317 2.424 Bi
```

Computed properties:
Total DFT energy (no corrections) in eV/f.u.: -12.682
Formation enthalpy at 0 K in eV/atom: -0.308
Polymorph energy (0 for the lowest one) in meV per atom: 0

# 11
Crystalline Li2HgBi at its relaxed geometry. Source: the Alexandria database, functional GGA-PBE.

POSCAR file:
```
Li2HgBi
1.0
4.910 0.000 0.000
2.455 4.252 0.000
2.455 1.417 4.009
Li Bi Hg
2 1 1
Cartesian
7.365 4.252 3.007 Li
2.455 1.417 1.002 Li
4.910 2.835 2.004 Bi
0.000 0.000 0.000 Hg
```

Computed properties:
Total DFT energy (no corrections) in eV/f.u.: -9.527
Formation enthalpy at 0 K in eV/atom: -0.379